Entry 1:
Below is a geometry-optimized ScFeSbIr structure, with properties calculated at the PBE level.

Computed properties:
**Uncorrected energy**: -7.031 eV/atom
**E above lowest polymorph**: 0.267 eV/atom
**Size of the total moment**: 0.794 μB/atom

Geometry as CIF:
```
data_ScFeSbIr
_chemical_formula_sum 'Sc4 Fe4 Sb4 Ir4'
_space_group_name_H-M_alt 'F -4 3 m'
_space_group_IT_number 216
_space_group_name_Hall 'F -4 2 3'
_cell_length_a 6.4992
_cell_length_b 6.4992
_cell_length_c 6.4992
_cell_angle_alpha 90.00
_cell_angle_beta 90.00
_cell_angle_gamma 90.00
loop_
_atom_site_label
_atom_site_fract_x
_atom_site_fract_y
_atom_site_fract_z
Sc1 0.0000 0.0000 0.0000
Fe1 0.0000 0.0000 0.5000
Sb1 0.2500 0.2500 0.2500
Ir1 0.2500 0.2500 0.7500
```

***

Entry 2:
Below is a geometry-optimized ScIrNO structure, with properties calculated at the PBE level.

Computed properties:
**Uncorrected energy**: -8.075 eV/atom
**E above lowest polymorph**: 0.519 eV/atom
**Size of the total moment**: 0.000 μB/atom

Geometry as CIF:
```
data_ScIrNO
_chemical_formula_sum 'Sc2 Ir2 N2 O2'
_space_group_name_H-M_alt 'P m c 21'
_space_group_IT_number 26
_cell_length_a 3.2888
_cell_length_b 6.0417
_cell_length_c 5.6946
_cell_angle_alpha 90.00
_cell_angle_beta 90.00
_cell_angle_gamma 90.00
loop_
_space_group_symop_operation_xyz
'x,y,z'
'-x,-y,z+1/2'
'-x,y,z'
'x,-y,z+1/2'
loop_
_atom_site_label
_atom_site_fract_x
_atom_site_fract_y
_atom_site_fract_z
Sc1 0.0000 0.1725 0.0000
Ir1 0.5000 0.2234 0.5351
N1 0.0000 0.1908 0.3719
O1 0.5000 0.3336 0.8779
```

***

Entry 3:
Below is a geometry-optimized ErTaIn structure, with properties calculated at the PBE level.

Computed properties:
**Uncorrected energy**: -5.271 eV/atom
**Size of the total moment**: 0.920 μB/atom

Geometry as CIF:
```
data_ErTaIn
_chemical_formula_sum 'Er4 Ta4 In4'
_space_group_name_H-M_alt 'F -4 3 m'
_space_group_IT_number 216
_space_group_name_Hall 'F -4 2 3'
_cell_length_a 6.9754
_cell_length_b 6.9754
_cell_length_c 6.9754
_cell_angle_alpha 90.00
_cell_angle_beta 90.00
_cell_angle_gamma 90.00
loop_
_atom_site_label
_atom_site_fract_x
_atom_site_fract_y
_atom_site_fract_z
Er1 0.0000 0.0000 0.0000
Ta1 0.2500 0.2500 0.2500
In1 0.2500 0.2500 0.7500
```

***

Entry 4:
Below is a geometry-optimized ErCdCuSe3 structure, with properties calculated at the PBE level.

Computed properties:
**Uncorrected energy**: -4.193 eV/atom
**E above lowest polymorph**: 0.000 eV/atom
**Size of the total moment**: 0.000 μB/atom

Geometry as CIF:
```
data_ErCdCuSe3
_chemical_formula_sum 'Er2 Cd2 Cu2 Se6'
_space_group_name_H-M_alt 'P 1 21/m 1'
_space_group_IT_number 11
_cell_length_a 7.7452
_cell_length_b 3.9305
_cell_length_c 9.2854
_cell_angle_alpha 90.00
_cell_angle_beta 101.69
_cell_angle_gamma 90.00
loop_
_space_group_symop_operation_xyz
'x,y,z'
'-x,-y,-z'
'-x,y+1/2,-z'
'x,-y+1/2,z'
loop_
_atom_site_label
_atom_site_fract_x
_atom_site_fract_y
_atom_site_fract_z
Er1 0.1834 0.2500 0.1739
Cd1 0.2879 0.7500 0.7200
Cu1 0.4177 0.7500 0.4218
Se1 0.0918 0.2500 0.8524
Se2 0.2413 0.2500 0.4835
Se3 0.4357 0.7500 0.1586
```

***

Entry 5:
Below is a geometry-optimized Ba2NbWN6 structure, with properties calculated at the PBE level.

Computed properties:
**Uncorrected energy**: -8.097 eV/atom
**Size of the total moment**: 0.000 μB/atom

Geometry as CIF:
```
data_Ba2NbWN6
_chemical_formula_sum 'Ba8 Nb4 W4 N24'
_space_group_name_H-M_alt 'F m -3 m'
_space_group_IT_number 225
_space_group_name_Hall '-F 4 2 3'
_cell_length_a 8.2964
_cell_length_b 8.2964
_cell_length_c 8.2964
_cell_angle_alpha 90.00
_cell_angle_beta 90.00
_cell_angle_gamma 90.00
loop_
_atom_site_label
_atom_site_fract_x
_atom_site_fract_y
_atom_site_fract_z
Ba1 0.2500 0.2500 0.2500
Nb1 0.0000 0.0000 0.0000
W1 0.0000 0.0000 0.5000
N1 0.0000 0.0000 0.2551
```

***

Entry 6:
Below is a geometry-optimized AcAgB4 structure, with properties calculated at the PBE level.

Computed properties:
**Uncorrected energy**: -5.333 eV/atom
**E above lowest polymorph**: 0.000 eV/atom
**Size of the total moment**: 0.000 μB/atom

Geometry as CIF:
```
data_AcAgB4
_chemical_formula_sum 'Ac2 Ag2 B8'
_space_group_name_H-M_alt 'I m m m'
_space_group_IT_number 71
_space_group_name_Hall '-I 2 2'
_cell_length_a 3.2010
_cell_length_b 5.5567
_cell_length_c 9.0896
_cell_angle_alpha 90.00
_cell_angle_beta 90.00
_cell_angle_gamma 90.00
loop_
_atom_site_label
_atom_site_fract_x
_atom_site_fract_y
_atom_site_fract_z
Ac1 0.0000 0.0000 0.0000
Ag1 0.0000 0.0000 0.5000
B1 0.0000 0.3151 0.2571
```

***

Entry 7:
Below is a geometry-optimized LaY2Cd3Ga2Au structure, with properties calculated at the PBE level.

Computed properties:
**Uncorrected energy**: -3.901 eV/atom
**Size of the total moment**: 0.001 μB/atom

Geometry as CIF:
```
data_LaY2Cd3Ga2Au
_chemical_formula_sum 'La2 Y4 Cd6 Ga4 Au2'
_space_group_name_H-M_alt 'A m m 2'
_space_group_IT_number 38
_cell_length_a 4.4105
_cell_length_b 12.9710
_cell_length_c 7.4399
_cell_angle_alpha 90.00
_cell_angle_beta 90.00
_cell_angle_gamma 90.00
loop_
_space_group_symop_operation_xyz
'x,y,z'
'-x,-y,z'
'-x,y,z'
'x,-y,z'
'x,y+1/2,z+1/2'
'-x,-y+1/2,z+1/2'
'-x,y+1/2,z+1/2'
'x,-y+1/2,z+1/2'
loop_
_atom_site_label
_atom_site_fract_x
_atom_site_fract_y
_atom_site_fract_z
La1 0.0000 0.0000 0.0000
Y1 0.0000 0.2064 0.6195
Cd1 0.5000 0.0000 0.6656
Cd2 0.5000 0.1277 0.2886
Ga1 0.5000 0.1691 0.9132
Au1 0.0000 0.0000 0.4190
```

***

Entry 8:
Below is a geometry-optimized Ta2CoPt structure, with properties calculated at the PBE level.

Computed properties:
**Uncorrected energy**: -9.352 eV/atom
**Size of the total moment**: 0.004 μB/atom
**Energy of formation**: -0.135 eV per atom

Geometry as CIF:
```
data_Ta2CoPt
_chemical_formula_sum 'Ta8 Co4 Pt4'
_space_group_name_H-M_alt 'F -4 3 m'
_space_group_IT_number 216
_space_group_name_Hall 'F -4 2 3'
_cell_length_a 6.2694
_cell_length_b 6.2694
_cell_length_c 6.2694
_cell_angle_alpha 90.00
_cell_angle_beta 90.00
_cell_angle_gamma 90.00
loop_
_atom_site_label
_atom_site_fract_x
_atom_site_fract_y
_atom_site_fract_z
Ta1 0.0000 0.0000 0.0000
Ta2 0.2500 0.2500 0.2500
Co1 0.2500 0.2500 0.7500
Pt1 0.0000 0.0000 0.5000
```